The following is a DFT calculation (GGA-PBE) of a relaxed Tb8Nd4Ho crystal.

a = 11.077 Å, b = 11.077 Å, c = 7.826 Å
α = 90.00°, β = 135.05°, γ = 120.00°
Each line ends with the local moment (μB).
Fractional coordinates of all 13 atoms:
Nd  0.000  0.000  0.000  -0.05
Nd  0.500  0.000  0.000  0.14
Nd  0.000  0.500  0.000  0.14
Nd  0.500  0.500  0.000  0.14
Ho  0.000  0.500  0.500  0.06
Tb  0.480  0.240  0.239  0.07
Tb  0.999  0.759  0.239  0.07
Tb  0.480  0.240  0.719  0.07
Tb  0.520  0.760  0.761  0.07
Tb  0.999  0.240  0.239  0.07
Tb  0.520  0.760  0.281  0.07
Tb  0.001  0.760  0.761  0.07
Tb  0.001  0.241  0.761  0.07

Computed properties:
**Formation energy**: 6.6 eV/f.u.
**Calculated volume**: 36.87 A^3/atom